Record 1
Computed, not measured: a geometry-optimized SrCaCdC2 structure at the PBE level of DFT.

Cell: 4.662 4.662 5.370 Å, 90.00 90.00 90.00°
Fractional coordinates of all 5 atoms:
Sr1 0.000 0.000 0.000
Ca1 0.500 0.500 0.000
Cd1 0.000 0.000 0.500
C1 0.000 0.500 0.500
C2 0.500 0.000 0.500

Computed properties:
formation energy: 2.0292 eV/atom
symmetry: P4/mmm (123)
energy: -12.90 eV per cell
crystal system: tetragonal
density: 3.8 g/cm3
volume: 116.7 Å³ per cell

Record 2
Computed, not measured: a geometry-optimized CaCdTeC2 structure at the PBE level of DFT.

Cell: 4.421 4.421 6.103 Å, 90.00 90.00 90.00°
Fractional coordinates of all 5 atoms:
Ca1 0.000 0.000 0.000
Cd1 0.500 0.500 0.500
Te1 0.500 0.500 0.000
C1 0.000 0.500 0.500
C2 0.500 0.000 0.500

Computed properties:
symmetry: P4/mmm (123)
energy: -16.37 eV per cell
E_form (uncorrected): 1627 meV/atom
crystal system: tetragonal
density: 4.2 g/cm3
volume: 119.3 Å³ per cell

Record 3
Computed, not measured: a geometry-optimized CaY2CdC structure at the PBE level of DFT.

Cell: 4.899 4.899 5.209 Å, 90.00 90.00 90.00°
Fractional coordinates of all 5 atoms:
Ca1 0.000 0.000 0.000
Y1 0.000 0.500 0.500
Y2 0.500 0.000 0.500
Cd1 0.500 0.500 0.000
C1 0.000 0.000 0.500

Computed properties:
formation energy: -0.2000 eV/atom
symmetry: P4/mmm (123)
energy: -26.07 eV per cell
crystal system: tetragonal
density: 4.5 g/cm3
volume: 125.0 Å³ per cell

Record 4
Computed, not measured: a geometry-optimized CaZrCdC2 structure at the PBE level of DFT.

Cell: 4.422 4.422 6.024 Å, 90.00 90.00 90.00°
Fractional coordinates of all 5 atoms:
Ca1 0.000 0.000 0.000
Zr1 0.000 0.000 0.500
Cd1 0.500 0.500 0.000
C1 0.000 0.500 0.500
C2 0.500 0.000 0.500

Computed properties:
formation energy: 1.5078 eV/atom
symmetry: P4/mmm (123)
energy: -22.37 eV per cell
crystal system: tetragonal
density: 3.8 g/cm3
volume: 117.8 Å³ per cell

Record 5
Computed, not measured: a geometry-optimized CaCe2PbC structure at the PBE level of DFT.

Cell: 4.976 4.976 5.119 Å, 90.00 90.00 90.00°
Fractional coordinates of all 5 atoms:
Ca1 0.000 0.000 0.000
Ce1 0.000 0.500 0.500
Ce2 0.500 0.000 0.500
Pb1 0.500 0.500 0.000
C1 0.000 0.000 0.500

Computed properties:
formation energy: -0.3524 eV/atom
symmetry: P4/mmm (123)
energy: -28.56 eV per cell
crystal system: tetragonal
density: 7.1 g/cm3
volume: 126.7 Å³ per cell

Record 6
Computed, not measured: a geometry-optimized Ca3C3Cl2 structure at the PBE level of DFT.

Cell: 7.029 7.029 11.564 Å, 90.00 90.00 148.14°
Fractional coordinates of all 16 atoms:
Ca1 0.121 0.879 0.750
Ca2 0.343 0.657 0.561
Ca3 0.343 0.657 0.939
Ca4 0.657 0.343 0.061
Ca5 0.657 0.343 0.439
Ca6 0.879 0.121 0.250
C1 0.258 0.742 0.250
C2 0.267 0.733 0.135
C3 0.267 0.733 0.365
C4 0.733 0.267 0.635
C5 0.733 0.267 0.865
C6 0.742 0.258 0.750
Cl1 0.000 0.000 0.000
Cl2 0.000 0.000 0.500
Cl3 0.471 0.529 0.750
Cl4 0.529 0.471 0.250

Computed properties:
symmetry: Cmcm (63)
energy: -91.05 eV per cell
E_form (uncorrected): -1019 meV/atom
crystal system: orthorhombic
density: 2.5 g/cm3
volume: 301.6 Å³ per cell

Record 7
Computed, not measured: a geometry-optimized CaC2Cl structure at the PBE level of DFT.

Cell: 5.930 5.930 6.699 Å, 90.00 90.00 90.00°
Fractional coordinates of all 16 atoms:
Ca1 0.000 0.000 0.000
Ca2 0.000 0.500 0.250
Ca3 0.500 0.000 0.750
Ca4 0.500 0.500 0.500
C1 0.165 0.250 0.625
C2 0.250 0.665 0.875
C3 0.250 0.835 0.375
C4 0.335 0.250 0.125
C5 0.665 0.750 0.125
C6 0.750 0.165 0.375
C7 0.750 0.335 0.875
C8 0.835 0.750 0.625
Cl1 0.000 0.000 0.500
Cl2 0.000 0.500 0.750
Cl3 0.500 0.000 0.250
Cl4 0.500 0.500 0.000

Computed properties:
symmetry: I-42d (122)
energy: -58.57 eV per cell
E_form (uncorrected): 1913 meV/atom
polymorph energy (0 for the lowest one): 0.0 kJ per mole of atoms
crystal system: tetragonal
density: 2.8 g/cm3
volume: 235.5 Å³ per cell

Record 8
Computed, not measured: a geometry-optimized Ca2CCl structure at the PBE level of DFT.

Cell: 6.700 6.700 6.700 Å, 90.00 90.00 90.00°
Fractional coordinates of all 16 atoms:
Ca1 0.250 0.250 0.250
Ca2 0.250 0.250 0.750
Ca3 0.250 0.750 0.250
Ca4 0.250 0.750 0.750
Ca5 0.750 0.250 0.250
Ca6 0.750 0.250 0.750
Ca7 0.750 0.750 0.250
Ca8 0.750 0.750 0.750
C1 0.000 0.000 0.000
C2 0.000 0.500 0.500
C3 0.500 0.000 0.500
C4 0.500 0.500 0.000
Cl1 0.000 0.000 0.500
Cl2 0.000 0.500 0.000
Cl3 0.500 0.000 0.000
Cl4 0.500 0.500 0.500

Computed properties:
symmetry: Fm-3m (225)
energy: -62.72 eV per cell
E_form (uncorrected): -152 meV/atom
crystal system: cubic
density: 2.8 g/cm3
volume: 300.8 Å³ per cell

Record 9
Computed, not measured: a geometry-optimized CaC2Cl structure at the PBE level of DFT.

Cell: 6.218 6.218 6.218 Å, 90.00 90.00 90.00°
Fractional coordinates of all 16 atoms:
Ca1 0.000 0.000 0.000
Ca2 0.000 0.500 0.500
Ca3 0.500 0.000 0.500
Ca4 0.500 0.500 0.000
C1 0.250 0.250 0.250
C2 0.250 0.250 0.750
C3 0.250 0.750 0.250
C4 0.250 0.750 0.750
C5 0.750 0.250 0.250
C6 0.750 0.250 0.750
C7 0.750 0.750 0.250
C8 0.750 0.750 0.750
Cl1 0.000 0.000 0.500
Cl2 0.000 0.500 0.000
Cl3 0.500 0.000 0.000
Cl4 0.500 0.500 0.500

Computed properties:
symmetry: Fm-3m (225)
energy: -55.11 eV per cell
E_form (uncorrected): 2130 meV/atom
polymorph energy (0 for the lowest one): 20.9 kJ per mole of atoms
crystal system: cubic
density: 2.8 g/cm3
volume: 240.4 Å³ per cell

Record 10
Computed, not measured: a geometry-optimized CaCCl3 structure at the PBE level of DFT.

Cell: 5.357 5.357 5.357 Å, 90.00 90.00 90.00°
Fractional coordinates of all 5 atoms:
Ca1 0.000 0.000 0.000
C1 0.500 0.500 0.500
Cl1 0.000 0.000 0.500
Cl2 0.000 0.500 0.000
Cl3 0.500 0.000 0.000

Computed properties:
symmetry: Pm-3m (221)
energy: -15.58 eV per cell
E_form (uncorrected): 237 meV/atom
polymorph energy (0 for the lowest one): 31.8 kJ per mole of atoms
crystal system: cubic
density: 1.7 g/cm3
volume: 153.8 Å³ per cell

Record 11
Computed, not measured: a geometry-optimized CaCCl3 structure at the PBE level of DFT.

Cell: 4.587 4.587 4.587 Å, 90.00 90.00 90.00°
Fractional coordinates of all 5 atoms:
Ca1 0.000 0.000 0.000
C1 0.500 0.500 0.500
Cl1 0.000 0.500 0.500
Cl2 0.500 0.000 0.500
Cl3 0.500 0.500 0.000

Computed properties:
symmetry: Pm-3m (221)
energy: -17.23 eV per cell
E_form (uncorrected): -93 meV/atom
polymorph energy (0 for the lowest one): 0.0 kJ per mole of atoms
crystal system: cubic
density: 2.7 g/cm3
volume: 96.5 Å³ per cell

Record 12
Computed, not measured: a geometry-optimized Ca2CCl structure at the PBE level of DFT.

Cell: 6.731 6.731 8.726 Å, 90.00 90.00 90.00°
Fractional coordinates of all 16 atoms:
Ca1 0.194 0.250 0.125
Ca2 0.250 0.694 0.375
Ca3 0.250 0.806 0.875
Ca4 0.306 0.250 0.625
Ca5 0.694 0.750 0.625
Ca6 0.750 0.194 0.875
Ca7 0.750 0.306 0.375
Ca8 0.806 0.750 0.125
C1 0.000 0.000 0.000
C2 0.000 0.500 0.250
C3 0.500 0.000 0.750
C4 0.500 0.500 0.500
Cl1 0.000 0.000 0.500
Cl2 0.000 0.500 0.750
Cl3 0.500 0.000 0.250
Cl4 0.500 0.500 0.000

Computed properties:
symmetry: I-42d (122)
energy: -67.12 eV per cell
E_form (uncorrected): -427 meV/atom
crystal system: tetragonal
density: 2.1 g/cm3
volume: 395.3 Å³ per cell

Repeat the twelfth record exactly.
Computed, not measured: a geometry-optimized Ca2CCl structure at the PBE level of DFT.

Cell: 6.731 6.731 8.726 Å, 90.00 90.00 90.00°
Fractional coordinates of all 16 atoms:
Ca1 0.194 0.250 0.125
Ca2 0.250 0.694 0.375
Ca3 0.250 0.806 0.875
Ca4 0.306 0.250 0.625
Ca5 0.694 0.750 0.625
Ca6 0.750 0.194 0.875
Ca7 0.750 0.306 0.375
Ca8 0.806 0.750 0.125
C1 0.000 0.000 0.000
C2 0.000 0.500 0.250
C3 0.500 0.000 0.750
C4 0.500 0.500 0.500
Cl1 0.000 0.000 0.500
Cl2 0.000 0.500 0.750
Cl3 0.500 0.000 0.250
Cl4 0.500 0.500 0.000

Computed properties:
symmetry: I-42d (122)
energy: -67.12 eV per cell
E_form (uncorrected): -427 meV/atom
crystal system: tetragonal
density: 2.1 g/cm3
volume: 395.3 Å³ per cell